The following is a DFT calculation (PBE with a Hubbard U) of crystalline Te2MoO at its relaxed geometry.

Summary:
V ... 229.6 Å³ per cell
Total moment ... 0.0001 μB per atom
Calculated density ... 7.964 Mg/m³
VASP energy ... -42.725 eV for the cell shown

Cell: 3.0763 3.0763 28.0201 Å, 90.00 90.00 120.00°
Space group R-3m (No. 166, hexagonal axes)
Asymmetric unit:
Te: 0.0000 0.0000 0.1011 (multiplicity 6)
Mo: 0.0000 0.0000 0.0000 (multiplicity 3)
O: 0.0000 0.0000 0.5000 (multiplicity 3)